--- i ---
Compound: SrSmNO
Source: OQMD
Functional: PBE
Structure: relaxed

Lattice parameters (Å, degrees): 4.2552 7.1784 5.1036 90.00 90.00 90.00
With the nearest neighbours (Å) after each atom.
Space group Pmc2_1 (No. 26)
Asymmetric unit:
Sr1 0.0000 0.1692 0.0000 [2 per cell]  2 N 2.49, 3 O 2.55-2.56
Sm1 0.5000 0.3375 0.5013 [2 per cell]  2 N 2.25-2.51, 2 O 2.38
N1 0.5000 0.3488 0.9925 [2 per cell]  2 Sm 2.25-2.51, 2 Sr 2.49
O1 0.0000 0.1878 0.4985 [2 per cell]  2 Sm 2.38, 3 Sr 2.55-2.56

Values from the calculation:
**Magnetization**: 0.0 Bohr magnetons per cell

--- ii ---
Compound: SrSmNO
Source: OQMD
Functional: PBE
Structure: relaxed

Lattice parameters (Å, degrees): 5.0624 5.0624 5.1627 90.00 90.00 90.00
With the nearest neighbours (Å) after each atom.
Space group P4/nmm (No. 129, origin choice 2)
Asymmetric unit:
Sr1 0.2500 0.2500 0.9998 [2 per cell]  4 O 2.53, 2 N 2.58-2.59
Sm1 0.2500 0.7500 0.5000 [2 per cell]  4 N 2.53, 2 O 2.58
N1 0.2500 0.2500 0.4987 [2 per cell]  4 Sm 2.53, 2 Sr 2.58-2.59
O1 0.2500 0.7500 0.0000 [2 per cell]  4 Sr 2.53, 2 Sm 2.58

Values from the calculation:
**Magnetization**: 0.0 Bohr magnetons per cell

Stability ranking, top and bottom: ii is the most stable and i is the least stable.

--- i ---
Compound: SmTaNO
Source: OQMD
Functional: PBE
Structure: relaxed

Lattice parameters (Å, degrees): 7.7307 6.5838 4.6323 90.00 90.00 90.00
With the nearest neighbours (Å) after each atom.
Space group Pbcm (No. 57)
Asymmetric unit:
Sm1 0.1301 0.0441 0.2500 [4 per cell]  4 O 2.36-2.45, 1 N 2.39
Ta1 0.3706 0.6079 0.2500 [4 per cell]  2 N 2.06, 1 O 2.10
N1 0.4192 0.5842 0.7500 [4 per cell]  2 Ta 2.06
O1 0.1628 0.0971 0.7500 [4 per cell]  1 Ta 2.10

Values from the calculation:
**Magnetization**: 0.0 Bohr magnetons per cell

--- ii ---
Compound: SmTaNO
Source: OQMD
Functional: PBE
Structure: relaxed

Lattice parameters (Å, degrees): 6.3238 7.6482 5.1796 90.00 90.00 90.00
With the nearest neighbours (Å) after each atom.
Space group Pca2_1 (No. 29)
Asymmetric unit:
Sm1 0.0600 0.1416 0.0000 [4 per cell]  4 N 2.36-2.60, 1 O 2.62
Ta1 0.1258 0.6560 0.0026 [4 per cell]  1 N 1.92, 2 O 2.10-2.13
N1 0.0673 0.1501 0.5021 [4 per cell]  1 Ta 1.92
O1 0.0734 0.5457 0.6301 [4 per cell]  3 Ta 2.10-2.18

Values from the calculation:
**Magnetization**: 0.0 Bohr magnetons per cell

--- iii ---
Compound: SmTaNO
Source: OQMD
Functional: PBE
Structure: relaxed

Lattice parameters (Å, degrees): 4.0729 5.4054 5.1840 90.00 90.00 90.00
With the nearest neighbours (Å) after each atom.
Space group Pmc2_1 (No. 26)
Asymmetric unit:
Sm1 0.0000 0.2316 0.0000 [2 per cell]  3 N 2.49-2.63, 4 O 2.70-2.74
Ta1 0.5000 0.2965 0.5009 [2 per cell]  2 N 2.04, 2 O 2.06
N1 0.0000 0.3080 0.5008 [2 per cell]  2 Ta 2.04
O1 0.5000 0.0027 0.7547 [2 per cell]  2 Ta 2.06

Values from the calculation:
**Magnetization**: 0.0 Bohr magnetons per cell

Stability ranking, top and bottom: iii is the most stable and ii is the least stable.

--- i ---
Compound: SmTaNO
Source: OQMD
Functional: PBE
Structure: relaxed

Lattice parameters (Å, degrees): 4.1145 4.1145 8.0722 90.00 90.00 90.00
With the nearest neighbours (Å) after each atom.
Space group P4/nmm (No. 129, origin choice 2)
Asymmetric unit:
Sm1 0.2500 0.2500 0.1336 [2 per cell]  4 O 2.32, 1 N 2.56
Ta1 0.2500 0.7500 0.5000 [2 per cell]  4 N 2.10
N1 0.2500 0.2500 0.4507 [2 per cell]  4 Ta 2.10
O1 0.2500 0.7500 0.0000 [2 per cell]  4 Sm 2.32

Values from the calculation:
**Magnetization**: 0.0 Bohr magnetons per cell

--- ii ---
Compound: SmTaNO
Source: OQMD
Functional: PBE
Structure: relaxed

Lattice parameters (Å, degrees): 3.8941 6.1074 5.2988 90.00 90.00 90.00
With the nearest neighbours (Å) after each atom.
Space group Pmc2_1 (No. 26)
Asymmetric unit:
Sm1 0.0000 0.1832 0.0000 [2 per cell]  2 N 2.44, 3 O 2.45-2.68
Ta1 0.5000 0.3044 0.5095 [2 per cell]  2 N 1.95-2.02, 2 O 2.02
N1 0.5000 0.3988 0.8743 [2 per cell]  2 Ta 1.95-2.02
O1 0.0000 0.2181 0.4956 [2 per cell]  2 Ta 2.02

Values from the calculation:
**Magnetization**: 0.0 Bohr magnetons per cell

--- iii ---
Compound: SmTaNO
Source: OQMD
Functional: PBE
Structure: relaxed

Lattice parameters (Å, degrees): 4.4432 4.4432 5.9356 90.00 90.00 90.00
With the nearest neighbours (Å) after each atom.
Space group P4/nmm (No. 129, origin choice 2)
Asymmetric unit:
Sm1 0.2500 0.7500 0.0000 [2 per cell]  4 N 2.41
Ta1 0.2500 0.2500 0.4770 [2 per cell]  1 N 1.91
N1 0.2500 0.2500 0.1553 [2 per cell]  1 Ta 1.91
O1 0.2500 0.7500 0.5000 [2 per cell]  4 Ta 2.23

Values from the calculation:
**Magnetization**: 0.0 Bohr magnetons per cell

Stability ranking, top and bottom: i is the most stable and iii is the least stable.

--- i ---
Compound: SmZrNO
Source: OQMD
Functional: PBE
Structure: relaxed

Lattice parameters (Å, degrees): 4.2144 4.2144 8.4065 90.00 90.00 90.00
With the nearest neighbours (Å) after each atom.
Space group P4/nmm (No. 129, origin choice 2)
Asymmetric unit:
Sm1 0.2500 0.2500 0.1202 [2 per cell]  4 O 2.34
Zr1 0.2500 0.7500 0.5000 [2 per cell]  4 N 2.17
N1 0.2500 0.2500 0.5608 [2 per cell]  4 Zr 2.17
O1 0.2500 0.7500 0.0000 [2 per cell]  4 Sm 2.34

Values from the calculation:
**Magnetization**: 0.0 Bohr magnetons per cell

--- ii ---
Compound: SmZrNO
Source: OQMD
Functional: PBE
Structure: relaxed

Lattice parameters (Å, degrees): 4.1810 6.2295 4.8857 90.00 90.00 90.00
With the nearest neighbours (Å) after each atom.
Space group Pmc2_1 (No. 26)
Asymmetric unit:
Sm1 0.0000 0.1800 0.0000 [2 per cell]  2 O 2.39, 3 N 2.45-2.48
Zr1 0.5000 0.2911 0.5014 [2 per cell]  2 N 2.14, 1 O 2.14
N1 0.0000 0.2185 0.5002 [2 per cell]  2 Zr 2.14
O1 0.5000 0.3652 0.9942 [2 per cell]  1 Zr 2.14, 2 Sm 2.39

Values from the calculation:
**Magnetization**: 0.0 Bohr magnetons per cell

--- iii ---
Compound: SmZrNO
Source: OQMD
Functional: PBE
Structure: relaxed

Lattice parameters (Å, degrees): 8.0662 6.4817 4.9201 90.00 90.00 90.00
With the nearest neighbours (Å) after each atom.
Space group Pbcm (No. 57)
Asymmetric unit:
Sm1 0.1371 0.0778 0.2500 [4 per cell]  1 O 2.28, 4 N 2.39-2.47
Zr1 0.3904 0.5609 0.2500 [4 per cell]  2 O 2.13-2.19, 1 N 2.14
N1 0.1407 0.0493 0.7500 [4 per cell]  1 Zr 2.14, 1 Sm 2.39
O1 0.3752 0.6108 0.7500 [4 per cell]  2 Zr 2.13-2.19, 1 Sm 2.28

Values from the calculation:
**Magnetization**: 0.0 Bohr magnetons per cell

Stability ranking, top and bottom: ii is the most stable and iii is the least stable.

--- i ---
Compound: SmZrNO
Source: OQMD
Functional: PBE
Structure: relaxed

Lattice parameters (Å, degrees): 4.5756 4.5756 5.9385 90.00 90.00 90.00
With the nearest neighbours (Å) after each atom.
Space group P4/nmm (No. 129, origin choice 2)
Asymmetric unit:
Sm1 0.2500 0.7500 0.0000 [2 per cell]  4 N 2.41
Zr1 0.2500 0.2500 0.4629 [2 per cell]  1 N 2.00
N1 0.2500 0.2500 0.1258 [2 per cell]  1 Zr 2.00
O1 0.2500 0.7500 0.5000 [2 per cell]  4 Zr 2.30

Values from the calculation:
**Magnetization**: 0.0 Bohr magnetons per cell

--- ii ---
Compound: SmZrNO
Source: OQMD
Functional: PBE
Structure: relaxed

Lattice parameters (Å, degrees): 7.9706 6.6769 4.7575 90.00 90.00 90.00
With the nearest neighbours (Å) after each atom.
Space group Pbcm (No. 57)
Asymmetric unit:
Sm1 0.1259 0.0540 0.2500 [4 per cell]  4 O 2.36-2.44, 1 N 2.36
Zr1 0.3777 0.5932 0.2500 [4 per cell]  4 N 2.14-2.39, 1 O 2.18
N1 0.3984 0.5832 0.7500 [4 per cell]  4 Zr 2.14-2.39, 1 Sm 2.36
O1 0.1543 0.0948 0.7500 [4 per cell]  1 Zr 2.18, 3 Sm 2.36-2.40

Values from the calculation:
**Magnetization**: 0.0 Bohr magnetons per cell

--- iii ---
Compound: SmZrNO
Source: OQMD
Functional: PBE
Structure: relaxed

Lattice parameters (Å, degrees): 4.7725 3.9207 6.7967 90.00 90.00 90.00
With the nearest neighbours (Å) after each atom.
Space group Pmma (No. 51)
Asymmetric unit:
Sm1 0.2500 0.0000 0.1588 [2 per cell]  2 N 2.38, 3 O 2.41-2.46
Zr1 0.2500 0.5000 0.6641 [2 per cell]  1 N 2.09, 2 O 2.16
N1 0.2500 0.5000 0.3568 [2 per cell]  1 Zr 2.09
O1 0.2500 0.0000 0.7965 [2 per cell]  2 Zr 2.16, 2 Sm 2.41

Values from the calculation:
**Magnetization**: 0.0 Bohr magnetons per cell

Stability ranking, top and bottom: ii is the most stable and i is the least stable.

--- i ---
Compound: TmSnNO
Source: OQMD
Functional: PBE
Structure: relaxed

Lattice parameters (Å, degrees): 3.3701 6.7537 5.7912 90.00 90.00 90.00
With the nearest neighbours (Å) after each atom.
Space group Pmc2_1 (No. 26)
Asymmetric unit:
Tm1 0.0000 0.0860 0.0000 [2 per cell]  2 O 2.22, 2 N 2.24-2.27
Sn1 0.5000 0.3777 0.4785 [2 per cell]  2 N 2.11
N1 0.0000 0.2241 0.3508 [2 per cell]  2 Sn 2.11, 2 Tm 2.24-2.27
O1 0.5000 0.1066 0.7518 [2 per cell]  2 Tm 2.22, 1 Sn 2.42

Values from the calculation:
**Magnetization**: 0.0 Bohr magnetons per cell

--- ii ---
Compound: TmSnNO
Source: OQMD
Functional: PBE
Structure: relaxed

Lattice parameters (Å, degrees): 4.1757 4.1757 7.3250 90.00 90.00 90.00
With the nearest neighbours (Å) after each atom.
Space group P4/nmm (No. 129, origin choice 2)
Asymmetric unit:
Tm1 0.2500 0.2500 0.1108 [2 per cell]  4 O 2.24
Sn1 0.2500 0.7500 0.5000 [2 per cell]  4 N 2.37
N1 0.2500 0.2500 0.6533 [2 per cell]  4 Sn 2.37
O1 0.2500 0.7500 0.0000 [2 per cell]  4 Tm 2.24

Values from the calculation:
**Magnetization**: 0.0 Bohr magnetons per cell

--- iii ---
Compound: TmSnNO
Source: OQMD
Functional: PBE
Structure: relaxed

Lattice parameters (Å, degrees): 6.6424 7.0343 5.6238 90.00 90.00 90.00
With the nearest neighbours (Å) after each atom.
Space group Pca2_1 (No. 29)
Asymmetric unit:
Tm1 0.0915 0.1458 0.0000 [4 per cell]  1 O 2.20, 3 N 2.22-2.26
Sn1 0.1212 0.6687 0.9867 [4 per cell]  2 O 2.10-2.19, 1 N 2.17
N1 0.0874 0.1136 0.6043 [4 per cell]  1 Sn 2.17, 3 Tm 2.22-2.26
O1 0.0660 0.4206 0.1852 [4 per cell]  2 Sn 2.10-2.19, 1 Tm 2.20

Values from the calculation:
**Magnetization**: 0.0 Bohr magnetons per cell

Stability ranking, top and bottom: i is the most stable and ii is the least stable.

--- i ---
Compound: TmSnNO
Source: OQMD
Functional: PBE
Structure: relaxed

Lattice parameters (Å, degrees): 3.7268 5.8437 6.4449 90.00 90.00 90.00
With the nearest neighbours (Å) after each atom.
Space group Pmc2_1 (No. 26)
Asymmetric unit:
Tm1 0.0000 0.1825 0.0000 [2 per cell]  2 O 2.11-2.14, 2 N 2.26
Sn1 0.5000 0.2934 0.4550 [2 per cell]  1 N 2.07
N1 0.5000 0.3815 0.0819 [2 per cell]  1 Sn 2.07, 2 Tm 2.26
O1 0.0000 0.1274 0.6764 [2 per cell]  2 Tm 2.11-2.14

Values from the calculation:
**Magnetization**: 0.0 Bohr magnetons per cell

--- ii ---
Compound: TmSnNO
Source: OQMD
Functional: PBE
Structure: relaxed

Lattice parameters (Å, degrees): 5.5910 8.1838 5.5097 90.00 90.00 90.00
With the nearest neighbours (Å) after each atom.
Space group Pca2_1 (No. 29)
Asymmetric unit:
Tm1 0.0164 0.1230 0.0000 [4 per cell]  4 O 2.20-2.22, 1 N 2.31
Sn1 0.0231 0.6276 0.9867 [4 per cell]  3 N 2.15-2.23
N1 0.0982 0.6120 0.5893 [4 per cell]  3 Sn 2.15-2.23, 1 Tm 2.31
O1 0.2477 0.9849 0.2492 [4 per cell]  4 Tm 2.20-2.22

Values from the calculation:
**Magnetization**: 0.0 Bohr magnetons per cell

--- iii ---
Compound: TmSnNO
Source: OQMD
Functional: PBE
Structure: relaxed

Lattice parameters (Å, degrees): 4.2629 4.2629 7.9023 90.00 90.00 90.00
With the nearest neighbours (Å) after each atom.
Space group P4/nmm (No. 129, origin choice 2)
Asymmetric unit:
Tm1 0.2500 0.7500 0.0000 [2 per cell]  4 N 2.25
Sn1 0.2500 0.2500 0.3798 [2 per cell]  4 O 2.33
N1 0.2500 0.2500 0.9104 [2 per cell]  4 Tm 2.25
O1 0.2500 0.7500 0.5000 [2 per cell]  4 Sn 2.33

Values from the calculation:
**Magnetization**: 0.0 Bohr magnetons per cell

Stability ranking, top and bottom: ii is the most stable and iii is the least stable.